w | A relaxed structure of RbTaF3. Source: the Alexandria database, functional PBE-GGA.

The structure belongs to space group Pm-3m (No. 221); the cell edges are 4.4419, 4.4419 and 4.4419 Å and the angles 90.00°, 90.00° and 90.00°. The inequivalent atoms are Rb at (0.0000, 0.0000, 0.0000), Ta at (0.5000, 0.5000, 0.5000) and F at (0.0000, 0.5000, 0.5000).

Its density of states at the Fermi level is 0.360 states/eV per atom. The value obtained for the total magnetic moment is 2.959 Bohr magnetons per cell. The calculation puts the volume at 87.64 Å³ per cell.

x | A relaxed structure of RbTaF3. Source: the Alexandria database, functional PBE-GGA.

The structure belongs to space group Pm-3m (No. 221); the cell edges are 4.8569, 4.8569 and 4.8569 Å and the angles 90.00°, 90.00° and 90.00°. The inequivalent atoms are Rb at (0.0000, 0.0000, 0.0000), Ta at (0.5000, 0.5000, 0.5000) and F at (0.0000, 0.0000, 0.5000).

Its density of states at the Fermi level is 1.207 states/eV per atom. The value obtained for the total magnetic moment is 3.000 Bohr magnetons per cell. The calculation puts the volume at 114.57 Å³ per cell.

Energies in meV per atom, measured from the most stable structure: w 0; x 1669.